InS2NO: relaxed, GGA-PBE.

Summary:
Its density of states at the Fermi level is 3.2 states/eV/f.u. The formation energy from raw total energies comes out at 7.8 eV per formula unit. Its excess energy over the best structure of this formula in the dataset is 0.350 eV per atom.

a b c (Å): 5.178 5.178 4.277
angles (deg): 90.00 90.00 90.00
Site moments in Bohr magnetons follow the coordinates.
Sites, in units of the cell vectors:
S 0.000 0.500 0.000  0.77
S 0.500 0.000 0.000  0.77
N 0.000 0.000 0.500  1.24
O 0.500 0.500 0.500  1.47
In 0.000 0.000 0.000  -0.03

---

InSN2O: relaxed, GGA-PBE.

Summary:
Its density of states at the Fermi level is 0.6 states/eV/f.u. The formation energy from raw total energies comes out at 4.7 eV per formula unit.

a b c (Å): 3.697 3.697 3.764
angles (deg): 90.00 90.00 90.00
Sites, in units of the cell vectors:
S 0.000 0.000 0.000
N 0.000 0.500 0.000
N 0.500 0.000 0.000
O 0.000 0.000 0.500
In 0.500 0.500 0.500

---

InSN2O: relaxed, GGA-PBE.

Summary:
Its density of states at the Fermi level is 3.6 states/eV/f.u. The formation energy from raw total energies comes out at 9.0 eV per formula unit.

a b c (Å): 4.250 4.250 4.328
angles (deg): 90.00 90.00 90.00
Site moments in Bohr magnetons follow the coordinates.
Sites, in units of the cell vectors:
S 0.500 0.500 0.500  -0.65
N 0.000 0.500 0.000  1.14
N 0.500 0.000 0.000  1.14
O 0.000 0.000 0.500  -0.33
In 0.000 0.000 0.000  0.01

---

InSbN2O: relaxed, GGA-PBE.

Summary:
Its density of states at the Fermi level is 4.0 states/eV/f.u. The formation energy from raw total energies comes out at 5.1 eV per formula unit.

a b c (Å): 4.219 4.219 4.128
angles (deg): 90.00 90.00 90.00
Site moments in Bohr magnetons follow the coordinates.
Sites, in units of the cell vectors:
Sb 0.500 0.500 0.500  -0.09
N 0.000 0.500 0.000  0.46
N 0.500 0.000 0.000  0.46
O 0.000 0.000 0.500  0.23
In 0.000 0.000 0.000  0.01

---

InSbNO2: relaxed, GGA-PBE.

Summary:
Its density of states at the Fermi level is 1.7 states/eV/f.u. The formation energy from raw total energies comes out at 0.9 eV per formula unit.

a b c (Å): 4.055 4.055 4.203
angles (deg): 90.00 90.00 90.00
Sites, in units of the cell vectors:
Sb 0.500 0.500 0.500
N 0.000 0.000 0.500
O 0.000 0.500 0.000
O 0.500 0.000 0.000
In 0.000 0.000 0.000

---

InSbNO2: relaxed, GGA-PBE.

Summary:
Its density of states at the Fermi level is 1.4 states/eV/f.u. The formation energy from raw total energies comes out at -1.6 eV per formula unit.

a b c (Å): 3.981 3.981 4.245
angles (deg): 90.00 90.00 90.00
Sites, in units of the cell vectors:
Sb 0.000 0.000 0.000
N 0.000 0.000 0.500
O 0.000 0.500 0.000
O 0.500 0.000 0.000
In 0.500 0.500 0.500

---

InSbN2O: relaxed, GGA-PBE.

Summary:
Its density of states at the Fermi level is 1.0 states/eV/f.u. The formation energy from raw total energies comes out at 2.4 eV per formula unit.

a b c (Å): 4.109 4.109 3.934
angles (deg): 90.00 90.00 90.00
Sites, in units of the cell vectors:
Sb 0.000 0.000 0.000
N 0.000 0.500 0.000
N 0.500 0.000 0.000
O 0.000 0.000 0.500
In 0.500 0.500 0.500

---

ScInNO2: relaxed, GGA-PBE.

Summary:
Its density of states at the Fermi level is 3.4 states/eV/f.u. The formation energy from raw total energies comes out at -4.3 eV per formula unit.

a b c (Å): 4.029 4.029 4.303
angles (deg): 90.00 90.00 90.00
Site moments in Bohr magnetons follow the coordinates.
Sites, in units of the cell vectors:
Sc 0.000 0.000 0.000  -0.02
N 0.000 0.000 0.500  0.60
O 0.000 0.500 0.000  0.25
O 0.500 0.000 0.000  0.25
In 0.500 0.500 0.500  -0.05

---

Number 1: size of the total moment 1.203 μB/atom, calculated total energy -3.29 eV/atom. Number 2: size of the total moment 0.000 μB/atom, calculated total energy -4.75 eV/atom. Number 3: size of the total moment 0.382 μB/atom, calculated total energy -3.90 eV/atom. Number 4: size of the total moment 0.276 μB/atom, calculated total energy -4.67 eV/atom. Number 5: size of the total moment 0.000 μB/atom, calculated total energy -4.84 eV/atom. Number 6: size of the total moment 0.000 μB/atom, calculated total energy -5.33 eV/atom. Number 7: size of the total moment 0.000 μB/atom, calculated total energy -5.22 eV/atom. Number 8: size of the total moment 0.271 μB/atom, calculated total energy -6.33 eV/atom.